Run a
Density functional theory data (PBE) for a geometry-optimized Mg3TaC structure.

a b c (Å): 4.3992 4.3992 4.3992
angles (deg): 90.00 90.00 90.00
Element x y z (fractional)
Mg: 0.0000 0.0000 0.5000
Mg: 0.0000 0.5000 0.0000
Mg: 0.5000 0.0000 0.0000
Ta: 0.5000 0.5000 0.5000
C: 0.0000 0.0000 0.0000

Properties
D(E_F) = 0.6154 states/eV per atom
ρ = 5.19 g cm⁻³

---

Run b
Density functional theory data (PBE) for a geometry-optimized Mg3TaC structure.

a b c (Å): 5.3779 5.3779 5.3779
angles (deg): 90.00 90.00 90.00
Element x y z (fractional)
Mg: 0.0000 0.0000 0.5000
Mg: 0.0000 0.5000 0.0000
Mg: 0.5000 0.0000 0.0000
Ta: 0.0000 0.0000 0.0000
C: 0.5000 0.5000 0.5000

Properties
D(E_F) = 1.7472 states/eV per atom
ρ = 2.84 g cm⁻³

---

It turns out run a is the most stable, with the second structure 1805 meV/atom higher.

---

Run a
Density functional theory data (PBE) for a geometry-optimized MgTcC structure.

a b c (Å): 4.9926 3.1086 5.3881
angles (deg): 90.00 104.57 90.00
Element x y z (fractional)
Mg: 0.1887 0.0000 0.2793
Mg: 0.8113 0.0000 0.7207
Tc: 0.3113 0.5000 0.7627
Tc: 0.6887 0.5000 0.2373
C: 0.5000 0.0000 0.0000
C: 0.5000 0.5000 0.5000

Properties
D(E_F) = 0.3831 states/eV per atom
ρ = 5.51 g cm⁻³

---

Run b
Density functional theory data (PBE) for a geometry-optimized MgTcC structure.

a b c (Å): 3.4225 3.4225 4.1585
angles (deg): 90.00 90.00 120.00
Element x y z (fractional)
Mg: 0.0000 0.0000 0.0000
Tc: 0.6667 0.3333 0.5000
C: 0.3333 0.6667 0.5000

Properties
D(E_F) = 0.1800 states/eV per atom
ρ = 5.29 g cm⁻³

---

It turns out run a is the most stable, with the second structure 60 meV/atom higher.

---

Run a
Density functional theory data (PBE) for a geometry-optimized Mg3TcC structure.

a b c (Å): 4.3631 4.3631 4.3631
angles (deg): 90.00 90.00 90.00
Element x y z (fractional)
Mg: 0.0000 0.0000 0.5000
Mg: 0.0000 0.5000 0.0000
Mg: 0.5000 0.0000 0.0000
Tc: 0.5000 0.5000 0.5000
C: 0.0000 0.0000 0.0000

Properties
D(E_F) = 0.2757 states/eV per atom
ρ = 3.66 g cm⁻³

---

Run b
Density functional theory data (PBE) for a geometry-optimized Mg3TcC structure.

a b c (Å): 4.9492 4.9492 4.9492
angles (deg): 90.00 90.00 90.00
Element x y z (fractional)
Mg: 0.0000 0.0000 0.5000
Mg: 0.0000 0.5000 0.0000
Mg: 0.5000 0.0000 0.0000
Tc: 0.0000 0.0000 0.0000
C: 0.5000 0.5000 0.5000

Properties
D(E_F) = 1.0649 states/eV per atom
ρ = 2.51 g cm⁻³

---

It turns out run a is the most stable, with the second structure 1369 meV/atom higher.

---

Run a
Density functional theory data (PBE) for a geometry-optimized MgTeC3 structure.

a b c (Å): 4.1888 4.1888 4.1888
angles (deg): 90.00 90.00 90.00
Element x y z (fractional)
Mg: 0.0000 0.0000 0.0000
Te: 0.5000 0.5000 0.5000
C: 0.0000 0.0000 0.5000
C: 0.0000 0.5000 0.0000
C: 0.5000 0.0000 0.0000

Properties
D(E_F) = 0.8535 states/eV per atom
ρ = 4.25 g cm⁻³

---

Run b
Density functional theory data (PBE) for a geometry-optimized MgTeC3 structure.

a b c (Å): 4.2060 4.2060 4.2060
angles (deg): 90.00 90.00 90.00
Element x y z (fractional)
Mg: 0.0000 0.0000 0.0000
Te: 0.5000 0.5000 0.5000
C: 0.0000 0.5000 0.5000
C: 0.5000 0.0000 0.5000
C: 0.5000 0.5000 0.0000

Properties
D(E_F) = 0.8668 states/eV per atom
ρ = 4.19 g cm⁻³

---

It turns out run b is the most stable, with the second structure 272 meV/atom higher.

---

Run a
Density functional theory data (PBE) for a geometry-optimized MgTe2C structure.

a b c (Å): 5.9119 5.9119 12.3081
angles (deg): 90.00 90.00 90.00
Element x y z (fractional)
Mg: 0.0000 0.0000 0.0000
Mg: 0.0000 0.5000 0.2500
Mg: 0.5000 0.0000 0.7500
Mg: 0.5000 0.5000 0.5000
Te: 0.1835 0.2500 0.6250
Te: 0.2500 0.6835 0.8750
Te: 0.2500 0.8165 0.3750
Te: 0.3165 0.2500 0.1250
Te: 0.6835 0.7500 0.1250
Te: 0.7500 0.1835 0.3750
Te: 0.7500 0.3165 0.8750
Te: 0.8165 0.7500 0.6250
C: 0.0000 0.0000 0.5000
C: 0.0000 0.5000 0.7500
C: 0.5000 0.0000 0.2500
C: 0.5000 0.5000 0.0000

Properties
D(E_F) = 0.0065 states/eV per atom
ρ = 4.50 g cm⁻³

---

Run b
Density functional theory data (PBE) for a geometry-optimized MgTe2C structure.

a b c (Å): 6.9548 6.9548 6.9548
angles (deg): 90.00 90.00 90.00
Element x y z (fractional)
Mg: 0.0000 0.0000 0.0000
Mg: 0.0000 0.5000 0.5000
Mg: 0.5000 0.0000 0.5000
Mg: 0.5000 0.5000 0.0000
Te: 0.2500 0.2500 0.2500
Te: 0.2500 0.2500 0.7500
Te: 0.2500 0.7500 0.2500
Te: 0.2500 0.7500 0.7500
Te: 0.7500 0.2500 0.2500
Te: 0.7500 0.2500 0.7500
Te: 0.7500 0.7500 0.2500
Te: 0.7500 0.7500 0.7500
C: 0.0000 0.0000 0.5000
C: 0.0000 0.5000 0.0000
C: 0.5000 0.0000 0.0000
C: 0.5000 0.5000 0.5000

Properties
D(E_F) = 0.6783 states/eV per atom
ρ = 5.76 g cm⁻³

---

Run c
Density functional theory data (PBE) for a geometry-optimized MgTe2C structure.

a b c (Å): 4.4999 4.4999 21.0018
angles (deg): 90.00 90.00 120.00
Element x y z (fractional)
Mg: 0.0000 0.0000 0.0000
Mg: 0.3333 0.6667 0.6667
Mg: 0.6667 0.3333 0.3333
Te: 0.0000 0.0000 0.4064
Te: 0.0000 0.0000 0.5936
Te: 0.3333 0.6667 0.0730
Te: 0.3333 0.6667 0.2603
Te: 0.6667 0.3333 0.7397
Te: 0.6667 0.3333 0.9270
C: 0.0000 0.0000 0.5000
C: 0.3333 0.6667 0.1667
C: 0.6667 0.3333 0.8333

Properties
D(E_F) = 0.6209 states/eV per atom
ρ = 3.94 g cm⁻³

---

It turns out run a is the most stable, with the second structure 125 meV/atom higher.

---

Run a
Density functional theory data (PBE) for a geometry-optimized Mg2TeC structure.

a b c (Å): 7.4657 7.4657 5.7046
angles (deg): 90.00 90.00 90.00
Element x y z (fractional)
Mg: 0.1155 0.2500 0.1250
Mg: 0.2500 0.6155 0.3750
Mg: 0.2500 0.8845 0.8750
Mg: 0.3845 0.2500 0.6250
Mg: 0.6155 0.7500 0.6250
Mg: 0.7500 0.1155 0.8750
Mg: 0.7500 0.3845 0.3750
Mg: 0.8845 0.7500 0.1250
Te: 0.0000 0.0000 0.5000
Te: 0.0000 0.5000 0.7500
Te: 0.5000 0.0000 0.2500
Te: 0.5000 0.5000 0.0000
C: 0.0000 0.0000 0.0000
C: 0.0000 0.5000 0.2500
C: 0.5000 0.0000 0.7500
C: 0.5000 0.5000 0.5000

Properties
D(E_F) = 0.1382 states/eV per atom
ρ = 3.93 g cm⁻³

---

Run b
Density functional theory data (PBE) for a geometry-optimized Mg2TeC structure.

a b c (Å): 6.6777 6.6777 6.6777
angles (deg): 90.00 90.00 90.00
Element x y z (fractional)
Mg: 0.2500 0.2500 0.2500
Mg: 0.2500 0.2500 0.7500
Mg: 0.2500 0.7500 0.2500
Mg: 0.2500 0.7500 0.7500
Mg: 0.7500 0.2500 0.2500
Mg: 0.7500 0.2500 0.7500
Mg: 0.7500 0.7500 0.2500
Mg: 0.7500 0.7500 0.7500
Te: 0.0000 0.0000 0.0000
Te: 0.0000 0.5000 0.5000
Te: 0.5000 0.0000 0.5000
Te: 0.5000 0.5000 0.0000
C: 0.0000 0.0000 0.5000
C: 0.0000 0.5000 0.0000
C: 0.5000 0.0000 0.0000
C: 0.5000 0.5000 0.5000

Properties
D(E_F) = 0.5649 states/eV per atom
ρ = 4.20 g cm⁻³

---

It turns out run a is the most stable, with the second structure 555 meV/atom higher.